(1)
Density functional theory data (PBE-GGA) for a relaxed Tl2PRh crystal.

Lattice parameters (Å, degrees): 6.884 6.884 6.884 90.00 90.00 90.00
Space group Fm-3m (No. 225)
Asymmetric unit:
Tl: 0.250 0.250 0.250 [8 per cell]
P: 0.000 0.000 0.000 [4 per cell]
Rh: 0.000 0.000 0.500 [4 per cell]

The formation energy comes out at 2.071 eV/f.u. Its relative energy among the computed polymorphs is 0.675 eV/atom.

---

(2)
Density functional theory data (PBE-GGA) for a relaxed CeMg2Sc crystal.

Lattice parameters (Å, degrees): 3.238 4.914 12.337 90.00 90.07 90.00
Space group P2_1/m (No. 11)
Asymmetric unit:
Ce: 0.250 0.250 0.055 [2 per cell]
Mg: 0.250 0.250 0.318 [2 per cell]
Mg: 0.250 0.750 0.454 [2 per cell]
Sc: 0.250 0.250 0.784 [2 per cell]

The formation energy comes out at 0.074 eV/f.u.

---

(3)
Density functional theory data (PBE-GGA) for a relaxed MgNpGe2Ir2 crystal.

Lattice parameters (Å, degrees): 4.3620 4.3620 6.4527 90.00 90.00 120.00
Space group P-3m1 (No. 164)
Asymmetric unit:
Mg: 0.0000 0.0000 0.0000 [1 per cell]
Np: 0.0000 0.0000 0.5000 [1 per cell]
Ge: 0.3333 0.6667 0.2085 [2 per cell]
Ir: 0.3333 0.6667 0.7693 [2 per cell]

The formation energy comes out at -2.351 eV/f.u.